Density functional theory data (meta-GGA SCAN) for TaSnBr3 at its PBEsol-relaxed geometry.

Structure (CIF):
```
data_TaSnBr3
_space_group_name_H-M_alt 'P m -3 m'
_space_group_IT_number 221
_space_group_name_Hall '-P 4 2 3'
_cell_length_a 5.0871
_cell_length_b 5.0871
_cell_length_c 5.0871
_cell_angle_alpha 90.00
_cell_angle_beta 90.00
_cell_angle_gamma 90.00
loop_
_atom_site_label
_atom_site_type_symbol
_atom_site_fract_x
_atom_site_fract_y
_atom_site_fract_z
_atom_site_occupancy
Ta1 Ta 0.0000 0.0000 0.0000 1
Sn1 Sn 0.5000 0.5000 0.5000 1
Br1 Br 0.0000 0.0000 0.5000 1
```

Computed properties:
* E_form (uncorrected): 0.98 eV/f.u.